No. 1
SrGa4Bi: relaxed, PBE-GGA.

space-group type: F-43m
energy: -18.809 eV/cell
calculated formation energy: -0.1897 eV/atom
total magnetization: 0.000 μB/atom

Cell lengths 5.8685, 5.8685, 5.8685 Å; angles 60.00, 60.00, 60.00 degrees
Fractional positions:
Sr: 0.0000 0.0000 0.0000
Ga: 0.1259 0.6247 0.6247
Ga: 0.6247 0.1259 0.6247
Ga: 0.6247 0.6247 0.1259
Ga: 0.6247 0.6247 0.6247
Bi: 0.2500 0.2500 0.2500

***

No. 2
CdTeH2: relaxed, PBE-GGA.

space-group type: I-42d
energy: -17.680 eV/cell
energy relative to the lowest polymorph listed for this composition: 0.598 eV per atom
total magnetization: 0.000 μB/atom

Cell lengths 5.8313, 5.8313, 5.8313 Å; angles 120.47, 120.47, 89.19 degrees
Fractional positions:
Cd: 0.0000 0.0000 0.0000
Cd: 0.7500 0.2500 0.5000
Te: 0.2500 0.7500 0.5000
Te: 0.5000 0.5000 0.0000
H: 0.3750 0.2005 0.3255
H: 0.7995 0.1250 0.1745
H: 0.8750 0.0495 0.6745
H: 0.9505 0.6250 0.8255

***

No. 3
RbSmCl4: relaxed, PBE-GGA.

space-group type: P-1
energy relative to the elements, uncorrected: -209.7 kJ/mol of atoms
energy: -52.230 eV/cell
energy relative to the lowest polymorph listed for this composition: 0.000 eV per atom
total magnetization: 0.000 μB/atom

Cell lengths 6.9175, 7.5734, 8.8936 Å; angles 76.38, 75.48, 89.52 degrees
Fractional positions:
Rb: 0.1904 0.1952 0.0888
Rb: 0.8096 0.8048 0.9112
Sm: 0.0000 0.5000 0.5000
Sm: 0.5000 0.0000 0.5000
Cl: 0.0353 0.4503 0.7955
Cl: 0.1990 0.8379 0.4183
Cl: 0.2988 0.9545 0.8065
Cl: 0.3476 0.3310 0.4006
Cl: 0.6524 0.6690 0.5994
Cl: 0.7012 0.0455 0.1935
Cl: 0.8010 0.1621 0.5817
Cl: 0.9647 0.5497 0.2045

***

No. 4
Nb2ZnPd: relaxed, PBE-GGA.

space-group type: F-43m
energy: -26.262 eV/cell
calculated formation energy: 0.0860 eV/atom
total magnetization: 0.028 μB/atom

Cell lengths 4.5575, 4.5575, 4.5575 Å; angles 60.00, 60.00, 60.00 degrees
Fractional positions:
Nb: 0.0000 0.0000 0.0000
Nb: 0.2500 0.2500 0.2500
Zn: 0.7500 0.7500 0.7500
Pd: 0.5000 0.5000 0.5000

***

No. 5
AlTl2Mo: relaxed, PBE-GGA.

space-group type: I4/mmm
energy: -16.784 eV/cell
calculated formation energy: 0.6305 eV/atom
energy relative to the lowest polymorph listed for this composition: 0.243 eV per atom
total magnetization: 0.237 μB/atom

Cell lengths 5.4690, 5.4690, 5.4690 Å; angles 135.02, 135.02, 65.50 degrees
Fractional positions:
Al: 0.0000 0.0000 0.0000
Tl: 0.2500 0.7500 0.5000
Tl: 0.7500 0.2500 0.5000
Mo: 0.5000 0.5000 0.0000

***

No. 6
Ac2Nd3: relaxed, PBE-GGA.

space-group type: C2/m
energy: -22.333 eV/cell
calculated formation energy: 0.0375 eV/atom
total magnetization: 0.000 μB/atom

Cell lengths 6.5629, 6.5629, 8.4788 Å; angles 129.68, 129.68, 48.52 degrees
Fractional positions:
Ac: 0.0965 0.0965 0.2988
Ac: 0.9035 0.9035 0.7012
Nd: 0.3004 0.3004 0.9045
Nd: 0.5000 0.5000 0.5000
Nd: 0.6996 0.6996 0.0955

***

No. 7
TaSiMoRu: relaxed, PBE-GGA.

space-group type: F-43m
energy relative to the elements, uncorrected: -32.2 kJ/mol of atoms
energy: -38.718 eV/cell
total magnetization: 0.000 μB/atom

Cell lengths 4.3895, 4.3895, 4.3895 Å; angles 60.00, 60.00, 60.00 degrees
Fractional positions:
Ta: 0.0000 0.0000 0.0000
Si: 0.5000 0.5000 0.5000
Mo: 0.2500 0.2500 0.2500
Ru: 0.7500 0.7500 0.7500

***

No. 8
Pm12ZnIr6: relaxed, PBE-GGA.

space-group type: R-3
energy: -120.465 eV/cell
calculated formation energy: -0.4746 eV/atom
total magnetization: 0.000 μB/atom

Cell lengths 8.4490, 8.4490, 8.4490 Å; angles 101.31, 101.31, 101.31 degrees
Fractional positions:
Pm: 0.0670 0.6714 0.9284
Pm: 0.0716 0.9330 0.3286
Pm: 0.1749 0.4219 0.5749
Pm: 0.3286 0.0716 0.9330
Pm: 0.4219 0.5749 0.1749
Pm: 0.4251 0.8251 0.5781
Pm: 0.5749 0.1749 0.4219
Pm: 0.5781 0.4251 0.8251
Pm: 0.6714 0.9284 0.0670
Pm: 0.8251 0.5781 0.4251
Pm: 0.9284 0.0670 0.6714
Pm: 0.9330 0.3286 0.0716
Zn: 0.0000 0.0000 0.0000
Ir: 0.1375 0.6136 0.3042
Ir: 0.3042 0.1375 0.6136
Ir: 0.3864 0.6958 0.8625
Ir: 0.6136 0.3042 0.1375
Ir: 0.6958 0.8625 0.3864
Ir: 0.8625 0.3864 0.6958

***

No. 9
Y5Ni: relaxed, PBE-GGA.

space-group type: Amm2
energy: -37.639 eV/cell
calculated formation energy: 0.0771 eV/atom
energy relative to the lowest polymorph listed for this composition: 0.164 eV per atom
total magnetization: 0.000 μB/atom

Cell lengths 5.4160, 8.5375, 8.5375 Å; angles 25.17, 90.00, 90.00 degrees
Fractional positions:
Y: 0.0000 0.0000 0.0000
Y: 0.0000 0.2905 0.2905
Y: 0.5000 0.1120 0.1120
Y: 0.5000 0.4344 0.4344
Y: 0.5000 0.7633 0.7633
Ni: 0.0000 0.6520 0.6520

***

No. 10
ScCdRe2: relaxed, PBE-GGA.

space-group type: P4/mmm
energy: -30.930 eV/cell
calculated formation energy: 0.3032 eV/atom
total magnetization: 0.000 μB/atom

Cell lengths 3.9113, 3.9113, 4.4694 Å; angles 90.00, 90.00, 90.00 degrees
Fractional positions:
Sc: 0.0000 0.0000 0.0000
Cd: 0.5000 0.5000 0.0000
Re: 0.0000 0.5000 0.5000
Re: 0.5000 0.0000 0.5000

***

No. 11
FeAs2Br: relaxed, PBE-GGA.

space-group type: R-3m
energy relative to the elements, uncorrected: 11.2 kJ/mol of atoms
energy: -18.972 eV/cell
energy relative to the lowest polymorph listed for this composition: 0.145 eV per atom
total magnetization: 0.001 μB/atom

Cell lengths 7.3574, 7.3574, 7.3574 Å; angles 28.00, 28.00, 28.00 degrees
Fractional positions:
Fe: 0.0000 0.0000 0.0000
As: 0.2778 0.2778 0.2778
As: 0.7222 0.7222 0.7222
Br: 0.5000 0.5000 0.5000

***

No. 12
TeSe: relaxed, PBE-GGA.

space-group type: Cmcm
energy relative to the elements, uncorrected: 9.0 kJ/mol of atoms
energy: -12.879 eV/cell
total magnetization: 0.000 μB/atom

Cell lengths 9.2956, 9.2956, 3.8709 Å; angles 90.00, 90.00, 156.24 degrees
Fractional positions:
Te: 0.1434 0.8566 0.7500
Te: 0.8566 0.1434 0.2500
Se: 0.4008 0.5992 0.7500
Se: 0.5992 0.4008 0.2500